A geometry-optimized Rb3SrPb2F9 structure, computed with PBE-GGA.

Lattice parameters (Å, degrees): 6.8298 6.8298 8.4293 90.00 90.00 120.00
Fractional coordinates of all 15 atoms:
Rb: 0.0000 0.0000 0.0000
Rb: 0.3333 0.6667 0.7126
Rb: 0.6667 0.3333 0.2874
Sr: 0.0000 0.0000 0.5000
Pb: 0.3333 0.6667 0.1765
Pb: 0.6667 0.3333 0.8235
F: 0.0000 0.5000 0.0000
F: 0.1601 0.3203 0.3256
F: 0.1601 0.8399 0.3256
F: 0.3203 0.1601 0.6744
F: 0.5000 0.0000 0.0000
F: 0.5000 0.5000 0.0000
F: 0.6797 0.8399 0.3256
F: 0.8399 0.1601 0.6744
F: 0.8399 0.6797 0.6744

Computed properties:
- raw formation energy (eV per atom) = -2.79
- total magnetic moment (μB per formula unit) = 0.0
- D(E_F) (states/eV/cell) = 0.0

***

A geometry-optimized Cs2PbS structure, computed with PBE-GGA.

Lattice parameters (Å, degrees): 6.2515 6.2515 6.2515 60.00 60.00 60.00
Fractional coordinates of all 4 atoms:
Cs: 0.2500 0.2500 0.2500
Cs: 0.7500 0.7500 0.7500
Pb: 0.0000 0.0000 0.0000
S: 0.5000 0.5000 0.5000

Computed properties:
- raw formation energy (eV per atom) = -0.09
- distance to the lowest polymorph of the same formula (meV per atom) = 276
- total magnetic moment (μB per formula unit) = 2.0
- D(E_F) (states/eV/cell) = 5.3

***

A geometry-optimized PmI2 structure, computed with PBE-GGA.

Lattice parameters (Å, degrees): 4.2075 4.2075 16.3014 90.00 90.00 119.93
Fractional coordinates of all 6 atoms:
Pm: 0.0000 0.0000 0.0000
Pm: 0.5000 0.5000 0.5000
I: 0.1664 0.8336 0.6247
I: 0.3336 0.6664 0.1247
I: 0.6664 0.3336 0.8753
I: 0.8336 0.1664 0.3753

Computed properties:
- raw formation energy (eV per atom) = -1.28
- distance to the lowest polymorph of the same formula (meV per atom) = 31
- total magnetic moment (μB per formula unit) = 0.0
- D(E_F) (states/eV/cell) = 3.3

***

A geometry-optimized NdHo2PaN4 structure, computed with PBE-GGA.

Lattice parameters (Å, degrees): 6.0433 3.5208 6.0926 90.00 109.21 90.00
Fractional coordinates of all 8 atoms:
Nd: 0.0000 0.0000 0.0000
Ho: 0.5000 0.0000 0.5000
Ho: 0.5000 0.5000 0.0000
Pa: 0.0000 0.5000 0.5000
N: 0.2483 0.0000 0.7357
N: 0.2497 0.5000 0.2733
N: 0.7503 0.5000 0.7267
N: 0.7517 0.0000 0.2643

Computed properties:
- raw formation energy (eV per atom) = -1.63
- total magnetic moment (μB per formula unit) = 0.0
- D(E_F) (states/eV/cell) = 3.6

***

A geometry-optimized LaMg2Sn2Au2 structure, computed with PBE-GGA.

Lattice parameters (Å, degrees): 9.0975 9.0975 9.0975 29.56 29.56 29.56
Fractional coordinates of all 7 atoms:
La: 0.0000 0.0000 0.0000
Mg: 0.1385 0.1385 0.1385
Mg: 0.8615 0.8615 0.8615
Sn: 0.2613 0.2613 0.2613
Sn: 0.7387 0.7387 0.7387
Au: 0.4418 0.4418 0.4418
Au: 0.5582 0.5582 0.5582

Computed properties:
- total magnetic moment (μB per formula unit) = 0.0
- D(E_F) (states/eV/cell) = 2.1
- calculated formation energy (eV per atom) = -0.570

***

A geometry-optimized CrBPAuI structure, computed with PBE-GGA.

Lattice parameters (Å, degrees): 4.1509 4.1509 9.4351 91.48 91.48 43.92
Fractional coordinates of all 5 atoms:
Cr: 0.0000 0.0000 0.0000
B: 0.7048 0.7048 0.0089
P: 0.2845 0.2845 0.9045
Au: 0.6341 0.6341 0.2275
I: 0.6064 0.6064 0.5148

Computed properties:
- raw formation energy (eV per atom) = 0.11
- distance to the lowest polymorph of the same formula (meV per atom) = 0
- total magnetic moment (μB per formula unit) = 2.6
- D(E_F) (states/eV/cell) = 2.4

***

A geometry-optimized EuYBi2 structure, computed with PBE-GGA.

Lattice parameters (Å, degrees): 8.0747 8.0747 8.0747 32.65 32.65 32.65
Fractional coordinates of all 4 atoms:
Eu: 0.0000 0.0000 0.0000
Y: 0.5000 0.5000 0.5000
Bi: 0.2457 0.2457 0.2457
Bi: 0.7543 0.7543 0.7543

Computed properties:
- distance to the lowest polymorph of the same formula (meV per atom) = 0
- total magnetic moment (μB per formula unit) = 6.7
- D(E_F) (states/eV/cell) = 11.9
- calculated formation energy (eV per atom) = -0.813

***

A geometry-optimized TmScPt structure, computed with PBE-GGA.

Lattice parameters (Å, degrees): 5.4248 4.5614 6.0801 90.00 107.77 90.00
Fractional coordinates of all 6 atoms:
Tm: 0.0790 0.2500 0.2823
Tm: 0.9210 0.7500 0.7177
Sc: 0.4726 0.2500 0.8181
Sc: 0.5274 0.7500 0.1819
Pt: 0.3588 0.7500 0.5739
Pt: 0.6412 0.2500 0.4261

Computed properties:
- distance to the lowest polymorph of the same formula (meV per atom) = 132
- total magnetic moment (μB per formula unit) = 0.0
- D(E_F) (states/eV/cell) = 5.0
- calculated formation energy (eV per atom) = -0.862